Record 1
PBE Co2OsBr, relaxed; ΔE to the lowest computed polymorph = 0.272 eV/atom; symmetry = Cmmm, No. 65; magnetic moment = 4.0 μB/f.u.; density of states at the Fermi level = 1.722 states/eV per atom
1.0
-1.671 -1.424 1.782
2.765 -0.595 0.003
1.272 5.940 5.938
Br Co Os
1 2 1
direct
0.500 0.500 0.750 Br
0.000 0.000 0.016 Co
0.000 0.000 0.484 Co
0.500 0.500 0.250 Os

Record 2
PBE CoOs2Br, relaxed; ΔE to the lowest computed polymorph = 0.633 eV/atom; symmetry = Fm-3m, No. 225; magnetic moment = 1.6 μB/f.u.; density of states at the Fermi level = 0.931 states/eV per atom
1.0
-0.952 -3.443 2.432
-2.643 0.416 3.393
-3.968 -1.706 -0.130
Co Os Br
1 2 1
direct
0.000 0.000 0.000 Co
0.250 0.250 0.250 Os
0.750 0.750 0.750 Os
0.500 0.500 0.500 Br

Record 3
PBE Co2OsBr, relaxed; ΔE to the lowest computed polymorph = 0.572 eV/atom; symmetry = F-43m, No. 216; magnetic moment = 3.1 μB/f.u.; density of states at the Fermi level = 1.466 states/eV per atom
1.0
4.273 0.000 0.000
2.137 3.701 0.000
2.137 1.234 3.489
Br Co Os
1 2 1
direct
0.500 0.500 0.500 Br
0.000 0.000 0.000 Co
0.750 0.750 0.750 Co
0.250 0.250 0.250 Os

Record 4
PBE CoOsBr2, relaxed; ΔE to the lowest computed polymorph = 0.744 eV/atom; symmetry = Cmmm, No. 65; magnetic moment = 1.4 μB/f.u.; density of states at the Fermi level = 1.488 states/eV per atom
1.0
3.227 0.007 0.000
-1.829 2.658 0.000
0.000 0.000 8.319
Br Co Os
2 1 1
direct
0.000 0.000 0.009 Br
0.000 0.000 0.491 Br
0.500 0.500 0.250 Co
0.500 0.500 0.750 Os

Record 5
PBE Co2OsBr, relaxed; ΔE to the lowest computed polymorph = 0.188 eV/atom; symmetry = Cm, No. 8; magnetic moment = 2.6 μB/f.u.; density of states at the Fermi level = 1.493 states/eV per atom
1.0
-2.362 0.030 -3.507
-1.286 -2.600 -3.076
-5.539 -1.852 2.529
Br Co Os
1 2 1
direct
0.870 0.870 0.744 Br
0.944 0.944 0.095 Co
0.211 0.211 0.260 Co
0.474 0.474 0.400 Os

Record 6
PBE CoOs2Br, relaxed; ΔE to the lowest computed polymorph = 0.279 eV/atom; symmetry = Cmmm, No. 65; magnetic moment = 1.9 μB/f.u.; density of states at the Fermi level = 1.337 states/eV per atom
1.0
2.648 0.003 0.000
-1.227 2.347 0.000
0.000 0.000 12.497
Br Co Os
1 1 2
direct
0.500 0.500 0.250 Br
0.500 0.500 0.750 Co
0.000 0.000 0.918 Os
0.000 0.000 0.582 Os

Record 7
PBE CoOsBr2, relaxed; ΔE to the lowest computed polymorph = 0.067 eV/atom; symmetry = Pm, No. 6; magnetic moment = 1.8 μB/f.u.; density of states at the Fermi level = 1.121 states/eV per atom
1.0
-2.092 0.689 2.601
-0.751 -3.101 0.217
5.685 -2.176 5.148
Br Co Os
2 1 1
direct
0.000 0.857 0.914 Br
0.500 0.177 0.359 Br
0.000 0.509 0.548 Co
0.500 0.957 0.679 Os

Record 8
PBE CoOs2Br, relaxed; ΔE to the lowest computed polymorph = 0.580 eV/atom; symmetry = I-42d, No. 122; magnetic moment = 0.0 μB/f.u.; density of states at the Fermi level = 2.133 states/eV per atom
1.0
-2.227 -2.942 0.366
2.935 -2.252 -0.247
1.418 -2.236 9.428
Co Os Br
2 4 2
direct
0.500 0.500 0.000 Co
0.250 0.750 0.500 Co
0.579 0.125 0.250 Os
0.171 0.625 0.250 Os
0.375 0.421 0.750 Os
0.875 0.829 0.750 Os
0.000 0.000 0.000 Br
0.750 0.250 0.500 Br

Record 9
PBE CoOs2Br, relaxed; ΔE to the lowest computed polymorph = 0.593 eV/atom; symmetry = F-43m, No. 216; magnetic moment = 1.8 μB/f.u.; density of states at the Fermi level = 1.233 states/eV per atom
1.0
4.394 0.000 0.000
2.197 3.806 0.000
2.197 1.269 3.588
Br Co Os
1 1 2
direct
0.500 0.500 0.500 Br
0.750 0.750 0.750 Co
0.000 0.000 0.000 Os
0.250 0.250 0.250 Os

Record 10
PBE CoOsBr4, relaxed; symmetry = F-43m, No. 216; magnetic moment = 5.7 μB/f.u.; density of states at the Fermi level = 1.562 states/eV per atom
1.0
0.000 4.320 4.320
4.320 0.000 4.320
4.320 4.320 0.000
Co Os Br
1 1 4
direct
0.750 0.750 0.750 Co
0.000 0.000 0.000 Os
0.876 0.375 0.375 Br
0.375 0.375 0.876 Br
0.375 0.876 0.375 Br
0.375 0.375 0.375 Br

Record 11
PBE Co2OsBr, relaxed; ΔE to the lowest computed polymorph = 0.398 eV/atom; symmetry = Cmmm, No. 65; magnetic moment = 2.9 μB/f.u.; density of states at the Fermi level = 1.552 states/eV per atom
1.0
4.557 0.020 -0.007
-1.358 4.350 -0.007
0.004 0.006 2.782
Br Co Os
1 2 1
direct
0.000 0.500 0.500 Br
0.000 0.000 0.000 Co
0.500 0.500 0.000 Co
0.500 0.000 0.500 Os

Record 12
PBE Co2OsBr, relaxed; ΔE to the lowest computed polymorph = 0.451 eV/atom; symmetry = P4/mmm, No. 123; magnetic moment = 3.0 μB/f.u.; density of states at the Fermi level = 1.848 states/eV per atom
1.0
2.742 0.000 0.000
0.000 4.528 0.000
0.000 0.000 4.528
Br Co Os
1 2 1
direct
0.500 0.000 0.500 Br
0.000 0.000 0.000 Co
0.000 0.500 0.500 Co
0.500 0.500 0.000 Os

Calculated formation energy without anion corrections in order - 323 518 439 457 291 382 196 498 503 1141 372 392 kJ/mol of formula units